! Er2Sc4Pb3O2, relaxed, DFT GGA-PBE; values from VASP
! Uncorrected formation energy = -1.39 eV per atom
! Symmetry = I4/mmm (139)
&SYSTEM
  ibrav = 0, nat = 11, ntyp = 4
/
ATOMIC_SPECIES
O 16.00 O.upf
Er 167.26 Er.upf
Pb 207.20 Pb.upf
Sc 44.96 Sc.upf
CELL_PARAMETERS angstrom
4.420 0.000 0.000
0.000 4.420 0.000
-2.210 -2.210 12.251
ATOMIC_POSITIONS crystal
O 0.595 0.595 0.190
O 0.405 0.405 0.810
Er 0.691 0.691 0.383
Er 0.309 0.309 0.617
Pb 0.823 0.823 0.646
Pb 0.000 0.000 0.000
Pb 0.177 0.177 0.354
Sc 0.417 0.917 0.834
Sc 0.583 0.083 0.166
Sc 0.083 0.583 0.166
Sc 0.917 0.417 0.834

! ErPbSeO5, relaxed, DFT GGA-PBE; values from VASP
! Uncorrected formation energy = -1.64 eV per atom
! Symmetry = C2/c (15)
&SYSTEM
  ibrav = 0, nat = 16, ntyp = 4
/
ATOMIC_SPECIES
Er 167.26 Er.upf
Se 78.96 Se.upf
O 16.00 O.upf
Pb 207.20 Pb.upf
CELL_PARAMETERS angstrom
-1.468 -3.898 4.597
-3.435 -1.930 -4.791
7.888 -1.252 -1.916
ATOMIC_POSITIONS crystal
Er 0.000 0.000 0.500
Er 0.000 0.000 0.000
Se 0.302 0.698 0.750
Se 0.698 0.302 0.250
O 0.406 0.227 0.098
O 0.227 0.406 0.598
O 0.594 0.773 0.902
O 0.773 0.594 0.402
O 0.884 0.330 0.101
O 0.330 0.884 0.601
O 0.116 0.670 0.899
O 0.930 0.070 0.750
O 0.670 0.116 0.399
O 0.070 0.930 0.250
Pb 0.704 0.296 0.750
Pb 0.296 0.704 0.250

! Sm4Er2Pb3O2, relaxed, DFT GGA-PBE; values from VASP
! Uncorrected formation energy = -1.35 eV per atom
! Symmetry = I4/mmm (139)
&SYSTEM
  ibrav = 0, nat = 11, ntyp = 4
/
ATOMIC_SPECIES
Pb 207.20 Pb.upf
Er 167.26 Er.upf
O 16.00 O.upf
Sm 150.36 Sm.upf
CELL_PARAMETERS angstrom
-0.444 3.903 -2.705
-2.046 -2.609 -3.429
-10.190 1.597 8.183
ATOMIC_POSITIONS crystal
Pb 0.182 0.182 0.364
Pb 0.818 0.818 0.636
Pb 0.000 0.000 0.000
Er 0.307 0.307 0.614
Er 0.693 0.693 0.386
O 0.395 0.395 0.790
O 0.605 0.605 0.210
Sm 0.415 0.915 0.831
Sm 0.085 0.585 0.169
Sm 0.585 0.085 0.169
Sm 0.915 0.415 0.831

! Sr2ErPbO5, relaxed, DFT GGA-PBE; values from VASP
! Uncorrected formation energy = -2.42 eV per atom
! Symmetry = Cmc2_1 (36)
&SYSTEM
  ibrav = 0, nat = 18, ntyp = 4
/
ATOMIC_SPECIES
Er 167.26 Er.upf
Pb 207.20 Pb.upf
O 16.00 O.upf
Sr 87.62 Sr.upf
CELL_PARAMETERS angstrom
3.510 0.000 0.000
-1.755 7.410 0.000
0.000 0.000 11.805
ATOMIC_POSITIONS crystal
Er 0.761 0.522 0.500
Er 0.239 0.478 0.000
Pb 0.495 0.990 0.473
Pb 0.505 0.010 0.973
O 0.280 0.560 0.630
O 0.720 0.440 0.130
O 0.623 0.245 0.569
O 0.084 0.169 0.027
O 0.734 0.468 0.874
O 0.266 0.532 0.374
O 0.916 0.831 0.527
O 0.492 0.984 0.786
O 0.377 0.755 0.069
O 0.508 0.016 0.286
Sr 0.131 0.263 0.241
Sr 0.869 0.739 0.224
Sr 0.869 0.737 0.741
Sr 0.131 0.261 0.724

! TbErPbO2, relaxed, DFT GGA-PBE; values from VASP
! Uncorrected formation energy = -2.57 eV per atom
! Symmetry = I4mm (107)
&SYSTEM
  ibrav = 0, nat = 5, ntyp = 4
/
ATOMIC_SPECIES
O 16.00 O.upf
Tb 158.93 Tb.upf
Pb 207.20 Pb.upf
Er 167.26 Er.upf
CELL_PARAMETERS angstrom
3.837 0.000 0.000
0.000 3.837 0.000
-1.918 -1.918 7.081
ATOMIC_POSITIONS crystal
O 0.749 0.249 0.497
O 0.249 0.749 0.497
Tb 0.830 0.830 0.660
Pb 0.501 0.501 0.003
Er 0.172 0.172 0.344

! Er2TiPbO6, relaxed, DFT GGA-PBE; values from VASP
! Uncorrected formation energy = -2.64 eV per atom
! Symmetry = P4mm (99)
&SYSTEM
  ibrav = 0, nat = 10, ntyp = 4
/
ATOMIC_SPECIES
O 16.00 O.upf
Er 167.26 Er.upf
Pb 207.20 Pb.upf
Ti 47.87 Ti.upf
CELL_PARAMETERS angstrom
5.629 0.000 0.000
0.000 5.353 0.000
0.000 0.000 5.353
ATOMIC_POSITIONS crystal
O 0.754 0.767 0.233
O 0.754 0.767 0.767
O 0.106 0.500 0.500
O 0.289 0.000 0.000
O 0.754 0.233 0.767
O 0.754 0.233 0.233
Er 0.956 0.500 0.000
Er 0.956 0.000 0.500
Pb 0.513 0.500 0.500
Ti 0.612 0.000 0.000

! Er2Tm4Pb3O2, relaxed, DFT GGA-PBE; values from VASP
! Uncorrected formation energy = -1.37 eV per atom
! Symmetry = I4/mmm (139)
&SYSTEM
  ibrav = 0, nat = 11, ntyp = 4
/
ATOMIC_SPECIES
O 16.00 O.upf
Pb 207.20 Pb.upf
Er 167.26 Er.upf
Tm 168.93 Tm.upf
CELL_PARAMETERS angstrom
4.606 0.000 0.000
0.000 4.606 0.000
-2.303 -2.303 12.478
ATOMIC_POSITIONS crystal
O 0.402 0.402 0.804
O 0.598 0.598 0.196
Pb 0.820 0.820 0.640
Pb 0.180 0.180 0.360
Pb 0.000 0.000 0.000
Er 0.692 0.692 0.385
Er 0.308 0.308 0.615
Tm 0.584 0.084 0.168
Tm 0.084 0.584 0.168
Tm 0.916 0.416 0.832
Tm 0.416 0.916 0.832

! ErTmPbO2, relaxed, DFT GGA-PBE; values from VASP
! Uncorrected formation energy = -2.59 eV per atom
! Symmetry = I4mm (107)
&SYSTEM
  ibrav = 0, nat = 5, ntyp = 4
/
ATOMIC_SPECIES
Er 167.26 Er.upf
Tm 168.93 Tm.upf
Pb 207.20 Pb.upf
O 16.00 O.upf
CELL_PARAMETERS angstrom
3.800 0.000 0.000
0.000 3.800 0.000
-1.900 -1.900 7.021
ATOMIC_POSITIONS crystal
Er 0.829 0.829 0.657
Tm 0.172 0.172 0.344
Pb 0.500 0.500 0.001
O 0.249 0.749 0.499
O 0.749 0.249 0.499

Look up the uncorrected formation energy of the eighth one. -2.59 eV per atom

Number 7 is which compound? Er2Tm4Pb3O2

The highest uncorrected formation energy belongs to which entry? Sm4Er2Pb3O2